Li2Mn3CuO8 | PBE+U | optimized geometry

abc: 8.280 8.302 8.293
angles: 90.00 90.00 90.00
Each line ends with the local moment (μB).
Fractional positions:
Li 0.623 0.377 0.877  0.01
Li 0.753 0.253 0.247  0.00
Li 0.747 0.747 0.747  0.00
Li 0.877 0.623 0.377  0.01
Li 0.123 0.123 0.123  0.01
Li 0.253 0.247 0.753  0.00
Li 0.247 0.753 0.253  0.00
Li 0.377 0.877 0.623  0.01
Mn 0.624 0.123 0.622  3.18
Mn 0.623 0.879 0.376  3.18
Mn 0.622 0.625 0.123  3.18
Mn 0.878 0.375 0.623  3.18
Mn 0.877 0.121 0.876  3.18
Mn 0.876 0.877 0.122  3.18
Mn 0.124 0.377 0.378  3.18
Mn 0.123 0.621 0.624  3.18
Mn 0.122 0.875 0.877  3.18
Mn 0.378 0.125 0.377  3.18
Mn 0.377 0.379 0.124  3.18
Mn 0.376 0.623 0.878  3.18
Cu 0.493 0.006 0.994  0.56
Cu 0.007 0.994 0.494  0.56
Cu 0.993 0.494 0.006  0.56
Cu 0.507 0.506 0.506  0.56
O 0.602 0.627 0.894  -0.07
O 0.606 0.399 0.128  -0.07
O 0.614 0.114 0.386  -0.10
O 0.627 0.894 0.602  -0.07
O 0.623 0.648 0.360  0.04
O 0.636 0.864 0.136  -0.02
O 0.640 0.123 0.853  0.04
O 0.647 0.359 0.624  0.04
O 0.853 0.641 0.124  0.04
O 0.860 0.877 0.353  0.04
O 0.864 0.136 0.636  -0.02
O 0.877 0.352 0.860  0.04
O 0.873 0.106 0.102  -0.07
O 0.886 0.886 0.886  -0.10
O 0.894 0.601 0.628  -0.07
O 0.898 0.373 0.394  -0.07
O 0.102 0.873 0.106  -0.07
O 0.106 0.101 0.872  -0.07
O 0.114 0.386 0.614  -0.10
O 0.127 0.606 0.398  -0.07
O 0.123 0.852 0.640  0.04
O 0.136 0.636 0.864  -0.02
O 0.140 0.377 0.147  0.04
O 0.147 0.141 0.376  0.04
O 0.353 0.859 0.876  0.04
O 0.360 0.623 0.647  0.04
O 0.364 0.364 0.364  -0.02
O 0.377 0.148 0.140  0.04
O 0.373 0.394 0.898  -0.07
O 0.386 0.614 0.114  -0.10
O 0.394 0.899 0.372  -0.07
O 0.398 0.127 0.606  -0.07

Calculated values
Excess energy over the best structure of this formula in the dataset in eV per atom: 0.016
Symmetry: P2_12_12_1, No. 19
Uncorrected energy in eV per cell: -360.2
Spin magnetization in μB per formula unit: 10.1